No. 1
PBE-GGA CrAsOs, optimized geometry; energy relative to the elements = 0.198 eV/atom; calculated volume = 41 Å³/cell; ΔE to the lowest computed polymorph = 76.6 meV/atom
1.0
5.299 -0.002 0.000
3.722 3.771 0.000
-4.510 -1.885 2.045
As Os Cr
1 1 1
Direct
0.993 0.993 0.000
0.669 0.669 0.000
0.338 0.338 0.000

***

No. 2
PBE-GGA CaCd2Ag, optimized geometry; energy relative to the elements = -0.215 eV/atom; calculated volume = 95 Å³/cell
1.0
5.539 0.113 -0.003
3.955 3.879 -0.003
1.984 0.834 4.515
Cd Ag Ca
2 1 1
Direct
0.019 0.019 0.971
0.481 0.481 0.529
0.750 0.750 0.750
0.250 0.250 0.250

***

No. 3
PBE-GGA Ca2H6PdRu, optimized geometry; final energy = -4.393 eV per atom; calculated volume = 100 Å³/cell
1.0
-3.957 2.971 1.570
-1.174 -3.505 3.645
4.815 2.000 -0.217
H Ca Ru Pd
6 2 1 1
Direct
0.762 0.763 0.524
0.759 0.241 0.000
0.240 0.760 0.000
0.759 0.760 0.000
0.238 0.238 0.476
0.241 0.241 0.999
0.250 0.750 0.500
0.750 0.250 0.500
0.000 0.000 0.000
0.500 0.500 0.000

***

No. 4
PBE-GGA Ti8BeCo2, optimized geometry; energy relative to the elements = 0.000 eV/atom; calculated volume = 171 Å³/cell
1.0
-2.389 3.590 -0.002
-4.970 -4.729 -0.737
2.996 0.578 6.189
Ti Be Co
8 1 2
Direct
0.500 0.774 0.226
0.078 0.317 0.089
0.078 0.089 0.317
0.317 0.615 0.615
0.500 0.226 0.774
0.922 0.911 0.683
0.922 0.683 0.911
0.683 0.385 0.385
0.500 0.000 0.000
0.000 0.691 0.309
0.000 0.309 0.691

***

No. 5
PBE-GGA MnSbCI2, optimized geometry; calculated volume = 117 Å³/cell; E_form (uncorrected) = 1.774 eV per atom; ΔE to the lowest computed polymorph = 206.1 meV/atom
1.0
4.981 0.000 0.000
0.000 4.981 0.000
0.000 0.000 4.696
Sb I C Mn
1 2 1 1
Direct
0.000 0.000 0.500
0.000 0.500 0.000
0.500 0.000 0.000
0.000 0.000 0.000
0.500 0.500 0.500

***

No. 6
PBE-GGA AgPb3S3, optimized geometry; calculated volume = 384 Å³/cell; E_form (uncorrected) = -0.290 eV per atom
1.0
5.919 0.000 0.000
0.000 8.650 0.000
0.000 -4.325 7.491
Pb S Ag
6 6 2
Direct
0.250 0.111 0.721
0.750 0.390 0.111
0.250 0.279 0.390
0.250 0.610 0.889
0.750 0.889 0.279
0.750 0.721 0.610
0.250 0.340 0.093
0.250 0.753 0.660
0.250 0.907 0.247
0.750 0.660 0.907
0.750 0.247 0.340
0.750 0.093 0.753
0.750 0.333 0.667
0.250 0.667 0.333

***

No. 7
PBE-GGA In2Pd2Pt, optimized geometry; energy relative to the elements = -0.375 eV/atom; calculated volume = 90 Å³/cell; ΔE to the lowest computed polymorph = 0.0 meV/atom
1.0
-2.081 0.852 1.980
-1.145 -3.709 0.392
4.462 -2.806 5.896
In Pt Pd
2 1 2
Direct
0.500 0.392 0.216
0.500 0.608 0.784
0.000 0.000 0.000
0.000 0.188 0.625
0.000 0.812 0.375

***

No. 8
PBE-GGA Zn2NiCl, optimized geometry; calculated volume = 65 Å³/cell; E_form (uncorrected) = 0.218 eV per atom; ΔE to the lowest computed polymorph = 421.6 meV/atom
1.0
5.854 0.029 0.000
3.756 4.490 0.000
-4.805 -2.259 2.465
Zn Ni Cl
2 1 1
Direct
0.000 0.000 0.000
0.500 0.500 0.000
0.750 0.250 0.500
0.250 0.750 0.500

***

No. 9
PBE-GGA CeAl3ZnCu, optimized geometry; energy relative to the elements = -0.104 eV/atom; calculated volume = 226 Å³/cell
1.0
5.831 0.000 0.000
0.000 6.139 0.000
0.000 -3.070 6.326
Ce Cu Al Zn
2 2 6 2
Direct
0.250 0.711 0.422
0.750 0.289 0.578
0.250 0.927 0.854
0.750 0.073 0.146
0.000 0.290 0.000
0.250 0.135 0.270
0.500 0.290 0.000
0.000 0.710 0.000
0.750 0.865 0.730
0.500 0.710 0.000
0.750 0.653 0.305
0.250 0.347 0.695

***

No. 10
PBE-GGA NaNiSnHg2, optimized geometry; energy relative to the elements = -0.059 eV/atom; calculated volume = 127 Å³/cell
1.0
-4.197 0.975 -2.759
-1.535 -4.841 0.625
-2.367 1.274 4.051
Sn Ni Hg Na
1 1 2 1
Direct
0.000 0.000 0.500
0.000 0.000 0.000
0.500 0.000 0.000
0.000 0.500 0.000
0.500 0.500 0.500

***

No. 11
PBE-GGA TbGa6Cu4, optimized geometry; energy relative to the elements = -0.236 eV/atom; calculated volume = 177 Å³/cell
1.0
4.020 0.000 0.000
0.000 7.128 0.000
0.000 -3.564 6.173
Cu Ga Tb
4 6 1
Direct
0.000 0.333 0.667
0.500 0.417 0.209
0.500 0.791 0.209
0.500 0.791 0.583
0.500 0.606 0.803
0.000 0.931 0.465
0.000 0.535 0.069
0.000 0.535 0.465
0.500 0.197 0.803
0.500 0.197 0.394
0.000 0.000 0.000

***

No. 12
PBE-GGA TlSiPb, optimized geometry; calculated volume = 80 Å³/cell; E_form (uncorrected) = 0.439 eV per atom; ΔE to the lowest computed polymorph = 91.3 meV/atom
1.0
-2.001 0.715 4.759
-3.160 -0.361 -4.129
-0.177 -3.347 0.428
Tl Si Pb
1 1 1
Direct
0.667 0.333 0.627
0.333 0.667 0.273
0.000 0.000 0.100